# Pr2ErMoO6 (PBE+U, optimized geometry)
data_Pr2ErMoO6
_cell_length_a 5.752
_cell_length_b 6.014
_cell_length_c 10.069
_cell_angle_alpha 90.00
_cell_angle_beta 124.31
_cell_angle_gamma 90.00
_symmetry_space_group_name_H-M 'P 1 21/c 1'
_symmetry_Int_Tables_number 14
_symmetry_space_group_name_Hall '-P 2ybc'
loop_
_atom_site_label
_atom_site_fract_x
_atom_site_fract_y
_atom_site_fract_z
Pr1 0.230 0.057 0.249
Er1 0.500 0.000 0.000
Mo1 0.000 0.000 0.500
O1 0.126 0.199 0.936
O2 0.235 0.696 0.934
O3 0.370 0.054 0.746
# size of the total moment	3.00	μB/f.u.
# crystal system	monoclinic
# E_tot	-8.08	eV per atom
# volume	14.38	Å³/atom